No. 1
First-principles (PBE-GGA) data for crystalline Sm2DyCo9 at its relaxed geometry, as listed in the Alexandria database.

```
12
Lattice="2.495 1.440 8.235 -2.495 1.440 8.235 0.000 -2.881 8.235" Properties=species:S:1:pos:R:3 pbc="T T T"
Sm 0.000 0.000 3.448
Sm 0.000 0.000 21.257
Dy 0.000 0.000 0.000
Co -1.245 -0.719 10.200
Co 0.000 0.000 8.249
Co 0.000 -1.438 14.504
Co -1.245 0.719 14.504
Co 0.000 0.000 12.352
Co 1.245 -0.719 10.200
Co 0.000 1.438 10.200
Co 0.000 0.000 16.456
Co 1.245 0.719 14.504
```

N(E_F) = 1.404 states/eV/atom
ΔH_f (0 K) = -0.12 eV per atom
Electronic total energy = -6.6170 eV per atom

No. 2
First-principles (PBE-GGA) data for crystalline CsAgI2N at its relaxed geometry, as listed in the Alexandria database.

```
5
Lattice="6.984 0.000 0.000 0.000 6.984 0.000 0.000 0.000 4.561" Properties=species:S:1:pos:R:3 pbc="T T T"
Cs 0.000 0.000 0.000
Ag 3.492 3.492 2.281
I 0.000 3.492 0.000
I 3.492 0.000 0.000
N 0.000 0.000 2.281
```

N(E_F) = 1.040 states/eV/atom
Electronic total energy = -1.8994 eV per atom

No. 3
First-principles (PBE-GGA) data for crystalline LaZrRu at its relaxed geometry, as listed in the Alexandria database.

```
3
Lattice="-1.677 1.677 6.430 1.677 -1.677 6.430 1.677 1.677 -6.430" Properties=species:S:1:pos:R:3 pbc="T T T"
La 0.000 0.000 0.000
Zr 0.000 0.000 3.459
Ru 0.000 0.000 8.552
```

N(E_F) = 1.572 states/eV/atom
ΔH_f (0 K) = -0.16 eV per atom
Electronic total energy = -7.7437 eV per atom

No. 4
First-principles (PBE-GGA) data for crystalline Ag2SCl at its relaxed geometry, as listed in the Alexandria database.

```
8
Lattice="4.166 0.000 0.000 0.000 5.741 0.000 -0.015 0.000 8.490" Properties=species:S:1:pos:R:3 pbc="T T T"
Ag 1.034 0.000 0.829
Ag 1.033 0.329 5.470
Ag 3.119 3.199 3.020
Ag 3.118 2.870 7.661
S 1.032 1.632 7.520
S 3.119 4.502 0.971
Cl 1.033 1.544 3.170
Cl 3.119 4.415 5.320
```

N(E_F) = 0.688 states/eV/atom
Electronic total energy = -3.0519 eV per atom

No. 5
First-principles (PBE-GGA) data for crystalline Ac2MgZr at its relaxed geometry, as listed in the Alexandria database.

```
4
Lattice="3.712 0.000 0.000 0.000 3.712 0.000 0.000 0.000 9.780" Properties=species:S:1:pos:R:3 pbc="T T T"
Ac 0.000 0.000 2.393
Ac 0.000 0.000 7.387
Mg 1.856 1.856 4.890
Zr 1.856 1.856 0.000
```

N(E_F) = 1.204 states/eV/atom
ΔH_f (0 K) = 0.15 eV per atom
Electronic total energy = -4.4403 eV per atom

No. 6
First-principles (PBE-GGA) data for crystalline GaSnSb3 at its relaxed geometry, as listed in the Alexandria database.

```
5
Lattice="5.686 0.000 0.000 0.000 5.686 0.000 0.000 0.000 5.686" Properties=species:S:1:pos:R:3 pbc="T T T"
Ga 0.000 0.000 0.000
Sn 2.843 2.843 2.843
Sb 0.000 2.843 2.843
Sb 2.843 0.000 2.843
Sb 2.843 2.843 0.000
```

N(E_F) = 0.938 states/eV/atom
Electronic total energy = -3.1346 eV per atom